## CeTh2ZrP4 (GGA-PBE)

Data for CeTh2ZrP4 after structural relaxation.

Cell lengths 6.968, 4.035, 6.972 Å; angles 90.00, 109.46, 90.00 degrees
Space group P2/m (No. 10)
Asymmetric unit:
Ce 0.000 0.000 0.000 [1 per cell]
Th 0.000 0.500 0.500 [1 per cell]
Th 0.500 0.000 0.500 [1 per cell]
Zr 0.500 0.500 0.000 [1 per cell]
P 0.255 0.500 0.237 [2 per cell]
P 0.264 0.000 0.768 [2 per cell]

## Properties
density: 7.360 g/cm³
energy: -62.7 eV/cell
ΔH_f (0 K): -1.468 eV/atom
DOS at the Fermi energy: 0.780 states/eV per atom